! Y2HfZn PBE-GGA relaxed; values from VASP
&SYSTEM
  ibrav = 0, nat = 4, ntyp = 3
/
ATOMIC_SPECIES
Y 88.91 Y.upf
Hf 178.49 Hf.upf
Zn 65.41 Zn.upf
CELL_PARAMETERS angstrom
3.411 0.000 0.000
0.000 3.411 0.000
0.000 0.000 8.545
ATOMIC_POSITIONS crystal
Y 0.000 0.000 0.230
Y 0.000 0.000 0.770
Hf 0.500 0.500 0.500
Zn 0.500 0.500 0.000
! Total energy   -24.507 eV/cell
! Energy of formation from the pure elements   -34 kJ/mol of formula units
! Symmetry   P4/mmm, No. 123

! Te2RhSe2 PBE-GGA relaxed; values from VASP
&SYSTEM
  ibrav = 0, nat = 10, ntyp = 3
/
ATOMIC_SPECIES
Te 127.60 Te.upf
Rh 102.91 Rh.upf
Se 78.96 Se.upf
CELL_PARAMETERS angstrom
6.552 0.000 0.000
0.000 6.552 0.000
0.000 0.000 5.824
ATOMIC_POSITIONS crystal
Te 0.223 0.277 0.000
Te 0.277 0.777 0.000
Te 0.723 0.223 0.000
Te 0.777 0.723 0.000
Rh 0.000 0.000 0.500
Rh 0.500 0.500 0.500
Se 0.168 0.332 0.500
Se 0.332 0.832 0.500
Se 0.668 0.168 0.500
Se 0.832 0.668 0.500
! Total energy   -40.053 eV/cell
! Raw formation energy   115 meV/atom
! Symmetry   P4/mbm, No. 127

! VCo2TeC PBE-GGA relaxed; values from VASP
&SYSTEM
  ibrav = 0, nat = 5, ntyp = 4
/
ATOMIC_SPECIES
V 50.94 V.upf
Co 58.93 Co.upf
Te 127.60 Te.upf
C 12.01 C.upf
CELL_PARAMETERS angstrom
4.395 0.000 0.000
0.000 4.395 0.000
0.000 0.000 3.875
ATOMIC_POSITIONS crystal
V 0.000 0.000 0.000
Co 0.000 0.500 0.000
Co 0.500 0.000 0.000
Te 0.500 0.500 0.500
C 0.000 0.000 0.500
! Total energy   -29.404 eV/cell
! Raw formation energy   1258 meV/atom
! Symmetry   P4/mmm, No. 123

Repeat the third record exactly.
! VCo2TeC PBE-GGA relaxed; values from VASP
&SYSTEM
  ibrav = 0, nat = 5, ntyp = 4
/
ATOMIC_SPECIES
V 50.94 V.upf
Co 58.93 Co.upf
Te 127.60 Te.upf
C 12.01 C.upf
CELL_PARAMETERS angstrom
4.395 0.000 0.000
0.000 4.395 0.000
0.000 0.000 3.875
ATOMIC_POSITIONS crystal
V 0.000 0.000 0.000
Co 0.000 0.500 0.000
Co 0.500 0.000 0.000
Te 0.500 0.500 0.500
C 0.000 0.000 0.500
! Total energy   -29.404 eV/cell
! Raw formation energy   1258 meV/atom
! Symmetry   P4/mmm, No. 123

- The highest total energy belongs to which entry?
  Y2HfZn

- Which value of total energy does entry 1 give?
  -24.507 eV/cell

- Among the records above, which one has the highest total energy?
  Y2HfZn